DFT (PBE) results for a relaxed structure of Cs2PmSn2S6.

abc: 13.029 7.652 8.627
angles: 90.00 120.46 90.00
Space group C2/m (No. 12)
Inequivalent atoms, fractional coordinates:
Cs: 0.209 0.000 0.196 (multiplicity 4)
Pm: 0.000 0.000 0.500 (multiplicity 2)
Sn: 0.045 0.500 0.202 (multiplicity 4)
S: 0.050 0.240 0.779 (multiplicity 8)
S: 0.243 0.000 0.633 (multiplicity 4)

Results
electronic total energy	-4.4900	eV/atom
crystal system	monoclinic
magnetization	0.00	μB per cell
formation energy from raw total energies	-10.2	eV per formula unit
ρ	3.77	g cm⁻³
calculated volume	33.70	Å³/atom